(1)
The following is a DFT calculation (PBE-GGA) of a geometry-optimized Li2Y3Cd5 structure.

## Properties
Its total energy is -3.0658 eV/atom. For the formation energy, the calculation gives -286.3 meV/atom.

Lattice parameters (Å, degrees): 10.4813 10.4813 4.1620 90.00 90.00 90.00
Closest atoms and distances in Å follow each position.
Space group P4/mbm (No. 127)
Asymmetric unit:
1 Li 0.1149 0.3851 0.0000 x4  6 Cd 2.69-2.78
2 Y 0.0000 0.0000 0.0000 x2  8 Cd 3.15
3 Y 0.1791 0.6791 0.0000 x4  3 Li 3.05-3.15, 2 Cd 3.37
4 Cd 0.0000 0.5000 0.5000 x2  4 Li 2.69
5 Cd 0.0619 0.2167 0.5000 x8  2 Li 2.78, 1 Cd 3.04

(2)
The following is a DFT calculation (PBE-GGA) of a geometry-optimized KAg2SO4 structure.

## Properties
Its total energy is -4.7763 eV/atom. As for the formation energy from raw total energies: -0.931 eV per atom.

Lattice parameters (Å, degrees): 5.9398 7.5927 13.9416 90.00 90.00 90.00
Closest atoms and distances in Å follow each position.
Space group Fmm2 (No. 42)
Asymmetric unit:
1 K 0.0000 0.0000 0.0000 x4  4 O 2.63-2.82
2 Ag 0.2500 0.2500 0.2628 x8  2 O 2.39
3 S 0.0000 0.0000 0.5948 x4  4 O 1.47-1.53
4 O 0.0000 0.1598 0.5356 x8  1 S 1.47
5 O 0.2077 0.0000 0.6597 x8  1 S 1.53

(3)
The following is a DFT calculation (PBE-GGA) of a geometry-optimized Sr2CrPb structure.

## Properties
Its total energy is -3.9859 eV/atom. For the formation energy, the calculation gives 187.9 meV/atom.

Lattice parameters (Å, degrees): 3.9623 3.9623 8.9915 90.00 90.00 90.00
Closest atoms and distances in Å follow each position.
Space group P4mm (No. 99)
Asymmetric unit:
1 Sr 0.0000 0.0000 0.0000 x1  1 Cr 3.38, 4 Pb 3.56
2 Sr 0.5000 0.5000 0.3750 x1  1 Pb 3.42, 4 Cr 3.58
3 Cr 0.0000 0.0000 0.6236 x1  4 Pb 3.04, 1 Sr 3.38
4 Pb 0.5000 0.5000 0.7555 x1  4 Cr 3.04

(4)
The following is a DFT calculation (PBE-GGA) of a geometry-optimized HoMg6Sc2 structure.

## Properties
Its total energy is -3.0074 eV/atom. For the relative energy among the computed polymorphs, the calculation gives 0.0 meV/atom. For the formation energy, the calculation gives -28.7 meV/atom.

Lattice parameters (Å, degrees): 8.8836 8.8836 3.1753 90.00 90.00 120.00
Closest atoms and distances in Å follow each position.
Space group P6/mmm (No. 191)
Asymmetric unit:
1 Ho 0.0000 0.0000 0.0000 x1  2 Ho 3.18, 12 Mg 3.39
2 Mg 0.0000 0.3375 0.5000 x6  5 Mg 2.89-3.18
3 Sc 0.3333 0.6667 0.0000 x2  2 Sc 3.18, 12 Mg 3.34

(5)
The following is a DFT calculation (PBE-GGA) of a geometry-optimized RbCrCl3 structure.

## Properties
Its total energy is -4.4965 eV/atom. As for the formation energy from raw total energies: -1.270 eV per atom.

Lattice parameters (Å, degrees): 10.6574 12.0473 5.8272 90.00 114.13 90.00
Closest atoms and distances in Å follow each position.
Space group C2 (No. 5)
Asymmetric unit:
1 Rb 0.2317 0.0000 0.4378 x4  7 Cl 3.29-3.55
2 Cr 0.0704 0.2557 0.9361 x4  1 Cr 1.93
3 Cl 0.0000 0.3122 0.5000 x2  2 Cr 2.43
4 Cl 0.0000 0.4384 0.0000 x2  2 Cr 2.40
5 Cl 0.1062 0.0769 0.8440 x4  1 Cr 2.29
6 Cl 0.2281 0.7603 0.7171 x4  1 Cr 2.27

(6)
The following is a DFT calculation (PBE-GGA) of a geometry-optimized Pm3SnHg3 structure.

## Properties
Its total energy is -3.2015 eV/atom. For the formation energy, the calculation gives -464.4 meV/atom.

Lattice parameters (Å, degrees): 3.7997 4.8694 21.0201 90.00 90.00 90.00
Closest atoms and distances in Å follow each position.
Space group Imm2 (No. 44)
Asymmetric unit:
1 Pm 0.0000 0.0000 0.0000 x2  7 Hg 3.21-3.26
2 Pm 0.0000 0.0000 0.3879 x2  5 Hg 3.22-3.24, 2 Sn 3.31
3 Pm 0.0000 0.5000 0.1916 x2  4 Sn 3.40, 8 Hg 3.41-3.74, 2 Pm 3.80
4 Sn 0.0000 0.5000 0.7591 x2  3 Hg 2.86-3.03
5 Hg 0.0000 0.0000 0.5421 x2  2 Hg 2.97, 5 Pm 3.21-3.24
6 Hg 0.0000 0.0000 0.8449 x2  2 Sn 3.03, 5 Pm 3.22-3.26
7 Hg 0.0000 0.5000 0.6229 x2  1 Sn 2.86, 2 Hg 2.97, 2 Pm 3.21

(7)
The following is a DFT calculation (PBE-GGA) of a geometry-optimized Tb2Ga9Ag structure.

## Properties
Its total energy is -3.6117 eV/atom. For the formation energy, the calculation gives -332.2 meV/atom.

Lattice parameters (Å, degrees): 4.2887 4.2887 12.5324 90.00 90.00 90.00
Closest atoms and distances in Å follow each position.
Space group P4/mmm (No. 123)
Asymmetric unit:
1 Tb 0.0000 0.0000 0.1730 x2  12 Ga 3.04-3.07
2 Ga 0.0000 0.5000 0.0000 x2  8 Ga 2.93-3.03, 4 Tb 3.05
3 Ga 0.0000 0.5000 0.3485 x4  2 Ag 2.86, 8 Ga 2.86-3.20, 2 Tb 3.07
4 Ga 0.5000 0.5000 0.1594 x2  8 Ga 2.93-3.20, 4 Tb 3.04
5 Ga 0.5000 0.5000 0.5000 x1  8 Ga 2.86, 4 Ag 3.03
6 Ag 0.0000 0.0000 0.5000 x1  12 Ga 2.86-3.03

(8)
The following is a DFT calculation (PBE-GGA) of a geometry-optimized MnCrTcPt structure.

## Properties
Its total energy is -8.8483 eV/atom. For the formation energy, the calculation gives -48.4 meV/atom.

Lattice parameters (Å, degrees): 6.1078 6.1078 6.1078 90.00 90.00 90.00
Closest atoms and distances in Å follow each position.
Space group F-43m (No. 216)
Asymmetric unit:
1 Mn 0.0000 0.0000 0.0000 x4  4 Tc 2.64, 4 Pt 2.64
2 Cr 0.0000 0.0000 0.5000 x4  4 Tc 2.64, 4 Pt 2.64
3 Tc 0.2500 0.2500 0.2500 x4  4 Cr 2.64, 4 Mn 2.64
4 Pt 0.2500 0.2500 0.7500 x4  4 Cr 2.64, 4 Mn 2.64

(9)
The following is a DFT calculation (PBE-GGA) of a geometry-optimized BeC structure.

## Properties
Its total energy is -5.5613 eV/atom. For the relative energy among the computed polymorphs, the calculation gives 594.4 meV/atom. For the formation energy, the calculation gives 913.7 meV/atom.

Lattice parameters (Å, degrees): 3.2145 5.5890 2.2710 90.00 134.74 90.00
Closest atoms and distances in Å follow each position.
Space group C2 (No. 5)
Asymmetric unit:
1 Be 0.0000 0.0000 0.0000 x2  4 C 1.80
2 C 0.0000 0.2504 0.5000 x2  4 Be 1.80

(10)
The following is a DFT calculation (PBE-GGA) of a geometry-optimized CsGaGe structure.

## Properties
Its total energy is -2.9502 eV/atom. For the formation energy, the calculation gives -117.6 meV/atom.

Lattice parameters (Å, degrees): 15.7746 3.9554 7.7152 90.00 119.28 90.00
Closest atoms and distances in Å follow each position.
Space group C2/m (No. 12)
Asymmetric unit:
1 Cs 0.1614 0.0000 0.1619 x4  4 Ga 3.76-3.94, 4 Ge 3.91-3.93, 2 Cs 3.96
2 Ga 0.1063 0.0000 0.6074 x4  4 Ge 2.78-2.79, 1 Ga 2.93
3 Ge 0.0008 0.5000 0.3320 x4  1 Ge 2.61, 4 Ga 2.78-2.79

(11)
The following is a DFT calculation (PBE-GGA) of a geometry-optimized CaRhI3 structure.

## Properties
Its total energy is -2.7843 eV/atom. For the relative energy among the computed polymorphs, the calculation gives 508.2 meV/atom. As for the formation energy from raw total energies: 0.016 eV per atom.

Lattice parameters (Å, degrees): 6.0443 6.0443 6.0443 90.00 90.00 90.00
Closest atoms and distances in Å follow each position.
Space group Pm-3m (No. 221)
Asymmetric unit:
1 Ca 0.0000 0.0000 0.0000 x1  6 I 3.02
2 Rh 0.5000 0.5000 0.5000 x1  12 I 4.27
3 I 0.0000 0.0000 0.5000 x3  2 Ca 3.02

(12)
The following is a DFT calculation (PBE-GGA) of a geometry-optimized Li2In4Rh structure.

## Properties
Its total energy is -3.3977 eV/atom. For the relative energy among the computed polymorphs, the calculation gives 0.0 meV/atom. For the formation energy, the calculation gives -235.8 meV/atom.

Lattice parameters (Å, degrees): 6.3203 6.3203 6.9217 90.00 90.00 90.00
Closest atoms and distances in Å follow each position.
Space group I4/mmm (No. 139)
Asymmetric unit:
1 Li 0.0000 0.5000 0.0000 x4  8 In 2.83, 2 Rh 3.16
2 In 0.2500 0.2500 0.2500 x8  4 Li 2.83, 2 Rh 2.83, 4 In 3.16
3 Rh 0.0000 0.0000 0.0000 x2  8 In 2.83, 4 Li 3.16

Number 3 is which compound? Sr2CrPb

Which formula does entry 5 have? RbCrCl3